Record 1
# Ta2AlP (PBE-GGA, optimized geometry)
data_Ta2AlP
_cell_length_a 4.709
_cell_length_b 2.933
_cell_length_c 5.118
_cell_angle_alpha 73.21
_cell_angle_beta 90.00
_cell_angle_gamma 90.00
_space_group_name_H-M_alt 'P 1'
_space_group_IT_number 1
loop_
_space_group_symop_operation_xyz
'x,y,z'
loop_
_atom_site_label
_atom_site_type_symbol
_atom_site_fract_x
_atom_site_fract_y
_atom_site_fract_z
P1 P 0.500 0.914 0.803
Al1 Al 0.000 0.569 0.487
Ta1 Ta 0.000 0.829 0.959
Ta2 Ta 0.500 0.189 0.251
# ΔE_f: -182 meV per atom
# distance to the lowest polymorph of the same formula: 0.583 eV/f.u.


Record 2
# TaAlP2 (PBE-GGA, optimized geometry)
data_TaAlP2
_cell_length_a 5.047
_cell_length_b 5.047
_cell_length_c 5.047
_cell_angle_alpha 142.12
_cell_angle_beta 130.27
_cell_angle_gamma 64.17
_space_group_name_H-M_alt 'P 1'
_space_group_IT_number 1
loop_
_space_group_symop_operation_xyz
'x,y,z'
loop_
_atom_site_label
_atom_site_type_symbol
_atom_site_fract_x
_atom_site_fract_y
_atom_site_fract_z
P1 P 0.014 0.014 0.000
P2 P 0.754 0.254 0.500
Al1 Al 0.232 0.732 0.500
Ta1 Ta 0.500 0.500 0.000
# ΔE_f: -122 meV per atom


Record 3
# TaAlP2 (PBE-GGA, optimized geometry)
data_TaAlP2
_cell_length_a 4.447
_cell_length_b 4.447
_cell_length_c 4.447
_cell_angle_alpha 60.00
_cell_angle_beta 60.00
_cell_angle_gamma 60.00
_space_group_name_H-M_alt 'P 1'
_space_group_IT_number 1
loop_
_space_group_symop_operation_xyz
'x,y,z'
loop_
_atom_site_label
_atom_site_type_symbol
_atom_site_fract_x
_atom_site_fract_y
_atom_site_fract_z
P1 P 0.000 0.000 0.000
P2 P 0.250 0.250 0.250
Al1 Al 0.500 0.500 0.500
Ta1 Ta 0.750 0.750 0.750
# ΔE_f: 449 meV per atom


Record 4
# Ta2AlP2 (PBE-GGA, optimized geometry)
data_Ta2AlP2
_cell_length_a 4.638
_cell_length_b 4.638
_cell_length_c 5.122
_cell_angle_alpha 63.08
_cell_angle_beta 63.08
_cell_angle_gamma 90.00
_space_group_name_H-M_alt 'P 1'
_space_group_IT_number 1
loop_
_space_group_symop_operation_xyz
'x,y,z'
loop_
_atom_site_label
_atom_site_type_symbol
_atom_site_fract_x
_atom_site_fract_y
_atom_site_fract_z
P1 P 0.363 0.363 0.274
P2 P 0.637 0.637 0.726
Al1 Al 0.000 0.000 0.000
Ta1 Ta 0.750 0.250 0.500
Ta2 Ta 0.250 0.750 0.500
# ΔE_f: -327 meV per atom
# distance to the lowest polymorph of the same formula: 0.402 eV/f.u.


Q: Look up the ΔE_f of the third one.
A: 449 meV per atom


Q: Look up the ΔE_f of the second one.
A: -122 meV per atom